Entry from the Alexandria database: crystalline BaMgRh2 at its relaxed geometry (PBE-GGA).

Results
For the energy relative to the elements, the calculation gives -44 meV/atom. Its total energy is -4.599 eV/atom. As for the size of the total moment: 0.10 μB per atom.

Cell: 4.2265 4.3878 5.8813 Å, 90.00 110.95 90.00°
Closest atoms and distances in Å follow each position.
Space group Pm (No. 6)
One atom of each set of equivalent atoms:
1 Ba 0.0000 0.0000 0.0000 (multiplicity 1)  7 Rh 3.06-3.32
2 Mg 0.7305 0.5000 0.4585 (multiplicity 1)  2 Rh 2.68
3 Rh 0.2806 0.0000 0.5573 (multiplicity 1)  2 Rh 2.46
4 Rh 0.3800 0.5000 0.7591 (multiplicity 1)  2 Rh 2.46, 2 Mg 2.68